Entry 1:
{"formula": "NbIrPdI", "functional": "PBE", "state": "relaxed", "cell": [[3.366, -1.951, 0.000], [3.366, 1.951, 0.000], [-2.291, 0.000, 7.143]], "species": ["Nb", "Ir", "Pd", "I"], "fractional_positions": [[0.000, 0.000, 0.000], [0.389, 0.389, 0.165], [0.259, 0.259, 0.779], [0.511, 0.511, 0.535]], "dft_energy_ev_per_cell": -25.432, "magnetic_moment_mub_per_cell": 0.00, "formation_energy_uncorrected_ev_per_atom": 0.060}



Entry 2:
{"formula": "Nd5Sm3Tm3", "functional": "PBE", "state": "relaxed", "cell": [[11.334, 0.000, 0.000], [-5.667, 9.815, 0.000], [0.000, 0.000, 3.462]], "species": ["Nd", "Nd", "Nd", "Nd", "Nd", "Sm", "Sm", "Sm", "Tm", "Tm", "Tm"], "fractional_positions": [[0.000, 0.337, 0.000], [0.333, 0.667, 0.000], [0.337, 0.000, 0.000], [0.663, 0.663, 0.000], [0.667, 0.333, 0.000], [0.000, 0.597, 0.500], [0.403, 0.403, 0.500], [0.597, 0.000, 0.500], [0.000, 0.841, 0.000], [0.159, 0.159, 0.000], [0.841, 0.000, 0.000]], "formation_enthalpy_0k_mev_per_atom": 315.3, "dft_energy_ev_per_cell": -47.942, "magnetic_moment_mub_per_cell": 0.00}



Entry 3:
{"formula": "CuGe2RhCl", "functional": "PBE", "state": "relaxed", "cell": [[4.957, 0.000, 0.000], [0.000, 4.957, 0.000], [0.000, 0.000, 4.126]], "species": ["Cu", "Ge", "Ge", "Rh", "Cl"], "fractional_positions": [[0.000, 0.000, 0.000], [0.000, 0.500, 0.500], [0.500, 0.000, 0.500], [0.500, 0.500, 0.000], [0.000, 0.000, 0.500]], "dft_energy_ev_per_cell": -17.772, "magnetic_moment_mub_per_cell": 0.00, "formation_energy_uncorrected_ev_per_atom": 0.951}



Entry 4:
{"formula": "CaIn3Pb", "functional": "PBE", "state": "relaxed", "cell": [[8.438, 0.000, 0.000], [0.000, 7.570, 0.000], [0.000, 0.000, 8.975]], "species": ["Ca", "Ca", "Ca", "Ca", "In", "In", "In", "In", "In", "In", "In", "In", "In", "In", "In", "In", "Pb", "Pb", "Pb", "Pb"], "fractional_positions": [[0.148, 0.250, 0.191], [0.352, 0.750, 0.691], [0.648, 0.250, 0.309], [0.852, 0.750, 0.809], [0.138, 0.053, 0.848], [0.138, 0.447, 0.848], [0.182, 0.750, 0.082], [0.318, 0.250, 0.582], [0.362, 0.553, 0.348], [0.362, 0.947, 0.348], [0.638, 0.053, 0.652], [0.638, 0.447, 0.652], [0.682, 0.750, 0.418], [0.818, 0.250, 0.918], [0.862, 0.553, 0.152], [0.862, 0.947, 0.152], [0.000, 0.000, 0.500], [0.000, 0.500, 0.500], [0.500, 0.000, 0.000], [0.500, 0.500, 0.000]], "formation_enthalpy_0k_mev_per_atom": -197.4, "dft_energy_ev_per_cell": -59.650, "magnetic_moment_mub_per_cell": 0.00}



Entry 5:
{"formula": "InHgAs2Se", "functional": "PBE", "state": "relaxed", "cell": [[5.335, 0.000, 0.000], [0.000, 5.335, 0.000], [0.000, 0.000, 5.608]], "species": ["In", "Hg", "As", "As", "Se"], "fractional_positions": [[0.000, 0.000, 0.000], [0.500, 0.500, 0.500], [0.000, 0.500, 0.500], [0.500, 0.000, 0.500], [0.500, 0.500, 0.000]], "dft_energy_ev_per_cell": -12.104, "magnetic_moment_mub_per_cell": 1.26, "formation_energy_uncorrected_ev_per_atom": 0.744}



Entry 6:
{"formula": "Rb2POF6", "functional": "PBE", "state": "relaxed", "cell": [[-3.154, 3.154, 4.577], [3.154, -3.154, 4.577], [3.154, 3.154, -4.577]], "species": ["Rb", "Rb", "P", "O", "F", "F", "F", "F", "F", "F"], "fractional_positions": [[0.250, 0.750, 0.500], [0.750, 0.250, 0.500], [0.000, 0.000, 0.000], [0.500, 0.500, 0.000], [0.180, 0.180, 0.000], [0.184, 0.184, 0.368], [0.184, 0.816, 0.000], [0.816, 0.184, 0.000], [0.816, 0.816, 0.632], [0.820, 0.820, 0.000]], "dft_energy_ev_per_cell": -45.237, "magnetic_moment_mub_per_cell": 1.00, "formation_energy_uncorrected_ev_per_atom": -2.171}



Entry 7:
{"formula": "La5Pt2Au5", "functional": "PBE", "state": "relaxed", "cell": [[8.565, -2.098, 0.000], [8.565, 2.098, 0.000], [-8.201, 0.000, 8.712]], "species": ["La", "La", "La", "La", "La", "Pt", "Pt", "Au", "Au", "Au", "Au", "Au"], "fractional_positions": [[0.000, 0.000, 0.000], [0.105, 0.105, 0.405], [0.194, 0.194, 0.812], [0.806, 0.806, 0.188], [0.895, 0.895, 0.595], [0.371, 0.371, 0.747], [0.629, 0.629, 0.253], [0.267, 0.267, 0.331], [0.418, 0.418, 0.137], [0.500, 0.500, 0.500], [0.582, 0.582, 0.863], [0.733, 0.733, 0.669]], "formation_enthalpy_0k_mev_per_atom": -907.6, "dft_energy_ev_per_cell": -63.996, "magnetic_moment_mub_per_cell": 0.00}



Entry 8:
{"formula": "Tb5ThRu4", "functional": "PBE", "state": "relaxed", "cell": [[7.367, -2.410, 0.000], [7.367, 2.410, 0.000], [-0.186, 0.000, 6.775]], "species": ["Tb", "Tb", "Tb", "Tb", "Tb", "Th", "Ru", "Ru", "Ru", "Ru"], "fractional_positions": [[0.000, 0.000, 0.000], [0.330, 0.330, 0.516], [0.333, 0.333, 0.016], [0.667, 0.667, 0.984], [0.670, 0.670, 0.484], [0.000, 0.000, 0.500], [0.158, 0.158, 0.740], [0.500, 0.500, 0.261], [0.500, 0.500, 0.739], [0.842, 0.842, 0.260]], "formation_enthalpy_0k_mev_per_atom": -319.6, "dft_energy_ev_per_cell": -70.870, "magnetic_moment_mub_per_cell": 0.00}



Number 1: D(E_F) 2.58 states/eV/cell. Number 2: D(E_F) 16.49 states/eV/cell. Number 3: D(E_F) 4.15 states/eV/cell. Number 4: D(E_F) 8.95 states/eV/cell. Number 5: D(E_F) 4.86 states/eV/cell. Number 6: D(E_F) 9.79 states/eV/cell. Number 7: D(E_F) 7.58 states/eV/cell. Number 8: D(E_F) 6.72 states/eV/cell.